No. 1
DFT (PBE) results for K4BaU3O12 after structural relaxation.

Properties
The magnetic moment comes out at 0.0 μB per formula unit. The value obtained for the energy above the most stable polymorph in this dataset is 0.0 meV/atom. The value obtained for the density of states at the Fermi level is 0.0 states/eV per cell. For the energy relative to the elements, uncorrected, the calculation gives -2.8152 eV/atom. The space group is R-3m, No. 166.

a b c (Å): 7.6049 7.6049 7.6049
angles (deg): 108.68 108.68 108.68
Closest atoms and distances in Å follow each position.
Fractional positions:
K 0.0000 0.0000 0.0000  6 O 2.54
K 0.5000 0.0000 0.0000  12 O 3.08-3.40
K 0.0000 0.5000 0.0000  12 O 3.08-3.40
K 0.0000 0.0000 0.5000  12 O 3.08-3.40
Ba 0.5000 0.5000 0.5000  12 O 2.99-3.10
U 0.5000 0.5000 0.0000  2 O 1.91
U 0.5000 0.0000 0.5000  2 O 1.91
U 0.0000 0.5000 0.5000  2 O 1.91
O 0.7506 0.2494 0.5000  2 U 2.22
O 0.2494 0.5000 0.7506  2 U 2.22
O 0.5000 0.7506 0.2494  2 U 2.22
O 0.7506 0.5000 0.2494  2 U 2.22
O 0.2494 0.7506 0.5000  2 U 2.22
O 0.5000 0.2494 0.7506  2 U 2.22
O 0.7001 0.7001 0.9690  1 U 1.91
O 0.7001 0.9690 0.7001  1 U 1.91
O 0.9690 0.7001 0.7001  1 U 1.91
O 0.2999 0.2999 0.0310  1 U 1.91
O 0.2999 0.0310 0.2999  1 U 1.91
O 0.0310 0.2999 0.2999  1 U 1.91



No. 2
DFT (PBE) results for KBa4U3O12 after structural relaxation.

Properties
The magnetic moment comes out at 3.0 μB per formula unit. For the energy relative to the elements, uncorrected, the calculation gives -3.0003 eV/atom. The space group is Im-3m, No. 229.

a b c (Å): 7.7592 7.7592 7.7592
angles (deg): 109.47 109.47 109.47
Closest atoms and distances in Å follow each position.
Fractional positions:
K 0.0000 0.0000 0.0000  6 O 2.48
Ba 0.5000 0.5000 0.5000  12 O 3.17-3.18
Ba 0.0000 0.0000 0.5000  12 O 3.17-3.18
Ba 0.5000 0.0000 0.0000  12 O 3.17-3.18
Ba 0.0000 0.5000 0.0000  12 O 3.17-3.18
U 0.5000 0.0000 0.5000  2 O 2.00
U 0.5000 0.5000 0.0000  2 O 2.00
U 0.0000 0.5000 0.5000  2 O 2.00
O 0.2500 0.5000 0.7500  2 U 2.24
O 0.7231 0.0000 0.7231  1 U 2.00
O 0.2769 0.0000 0.2769  1 U 2.00
O 0.7500 0.5000 0.2500  2 U 2.24
O 0.7231 0.7231 0.0000  1 U 2.00
O 0.2769 0.2769 0.0000  1 U 2.00
O 0.7500 0.2500 0.5000  2 U 2.24
O 0.2500 0.7500 0.5000  2 U 2.24
O 0.5000 0.2500 0.7500  2 U 2.24
O 0.0000 0.7231 0.7231  1 U 2.00
O 0.5000 0.7500 0.2500  2 U 2.24
O 0.0000 0.2769 0.2769  1 U 2.00



No. 3
DFT (PBE) results for KBa2UO6 after structural relaxation.

Properties
The magnetic moment comes out at 1.1 μB per formula unit. The value obtained for the density of states at the Fermi level is 8.6 states/eV per cell. For the energy relative to the elements, uncorrected, the calculation gives -2.5511 eV/atom. The space group is Fm-3m, No. 225.

a b c (Å): 6.3932 6.3879 6.3926
angles (deg): 60.00 59.98 90.00
Closest atoms and distances in Å follow each position.
Fractional positions:
K 0.0000 0.0000 0.0000  6 O 2.47
Ba 0.2500 0.7499 0.5001  12 O 3.20
Ba 0.7500 0.2501 0.4999  12 O 3.20
U 0.5000 0.5000 0.0000  6 O 2.05
O 0.2733 0.7267 0.0000  1 U 2.05
O 0.7267 0.7267 0.0001  1 U 2.05
O 0.2733 0.2732 0.4535  1 U 2.05
O 0.7267 0.2733 0.0000  1 U 2.05
O 0.2733 0.2733 0.9999  1 U 2.05
O 0.7267 0.7268 0.5465  1 U 2.05



No. 4
DFT (PBE) results for K3Ba2UO6 after structural relaxation.

Properties
The magnetic moment comes out at 1.0 μB per formula unit. For the energy relative to the elements, uncorrected, the calculation gives -2.4393 eV/atom. The space group is C2/m, No. 12.

a b c (Å): 6.6497 6.6497 6.6636
angles (deg): 99.58 99.58 120.24
Closest atoms and distances in Å follow each position.
Fractional positions:
K 0.1555 0.8445 0.5000  4 O 2.73-2.78
K 0.8445 0.1555 0.5000  4 O 2.73-2.78
K 0.5000 0.5000 0.5000  4 O 2.79
Ba 0.3325 0.6675 0.0000  6 O 2.72-2.73
Ba 0.6675 0.3325 0.0000  6 O 2.72-2.73
U 0.0000 0.0000 0.0000  6 O 2.19-2.20
O 0.9345 0.6611 0.8028  1 U 2.20
O 0.7882 0.7882 0.1918  1 U 2.19
O 0.0655 0.3389 0.1972  1 U 2.20
O 0.6611 0.9345 0.8028  1 U 2.20
O 0.2118 0.2118 0.8082  1 U 2.19
O 0.3389 0.0655 0.1972  1 U 2.20



No. 5
DFT (PBE) results for K4BaU3O12 after structural relaxation.

Properties
The magnetic moment comes out at 0.0 μB per formula unit. The value obtained for the energy above the most stable polymorph in this dataset is 23.0 meV/atom. The value obtained for the density of states at the Fermi level is 0.0 states/eV per cell. For the energy relative to the elements, uncorrected, the calculation gives -2.7922 eV/atom. The space group is Im-3m, No. 229.

a b c (Å): 7.7145 7.7145 7.7145
angles (deg): 109.47 109.47 109.47
Closest atoms and distances in Å follow each position.
Fractional positions:
K 0.5000 0.5000 0.5000  12 O 3.15-3.16
K 0.0000 0.0000 0.5000  12 O 3.15-3.16
K 0.5000 0.0000 0.0000  12 O 3.15-3.16
K 0.0000 0.5000 0.0000  12 O 3.15-3.16
Ba 0.0000 0.0000 0.0000  6 O 2.53
U 0.5000 0.0000 0.5000  2 O 1.92
U 0.5000 0.5000 0.0000  2 O 1.92
U 0.0000 0.5000 0.5000  2 O 1.92
O 0.2500 0.5000 0.7500  2 U 2.23
O 0.7159 0.0000 0.7159  1 U 1.92
O 0.2841 0.0000 0.2841  1 U 1.92
O 0.7500 0.5000 0.2500  2 U 2.23
O 0.7159 0.7159 0.0000  1 U 1.92
O 0.2841 0.2841 0.0000  1 U 1.92
O 0.7500 0.2500 0.5000  2 U 2.23
O 0.2500 0.7500 0.5000  2 U 2.23
O 0.5000 0.2500 0.7500  2 U 2.23
O 0.0000 0.7159 0.7159  1 U 1.92
O 0.5000 0.7500 0.2500  2 U 2.23
O 0.0000 0.2841 0.2841  1 U 1.92



No. 6
DFT (PBE) results for K2BaU2O7 after structural relaxation.

Properties
The magnetic moment comes out at 2.0 μB per formula unit. The value obtained for the density of states at the Fermi level is 1.1 states/eV per cell. For the energy relative to the elements, uncorrected, the calculation gives -2.8905 eV/atom. The space group is I4/mmm, No. 139.

a b c (Å): 4.3937 4.3937 11.6411
angles (deg): 79.13 79.13 90.00
Closest atoms and distances in Å follow each position.
Fractional positions:
K 0.8064 0.8064 0.3873  1 O 2.67
K 0.1936 0.1936 0.6127  1 O 2.67
Ba 0.0000 0.0000 0.0000  12 O 2.98-3.11
U 0.5985 0.5985 0.8029  6 O 1.99-2.21
U 0.4015 0.4015 0.1971  6 O 1.99-2.21
O 0.5000 0.5000 0.0000  2 U 2.21
O 0.3129 0.3129 0.3744  1 U 1.99
O 0.6871 0.6871 0.6256  1 U 1.99
O 0.9104 0.4104 0.1794  2 U 2.21
O 0.4104 0.9104 0.1794  2 U 2.21
O 0.5896 0.0896 0.8206  2 U 2.21
O 0.0896 0.5896 0.8206  2 U 2.21